Record 1
Sm2CuNi3P4, relaxed, DFT PBE; formation energy = -0.93 eV per atom
1.0
4.048 0.000 0.000
0.000 4.048 0.000
0.000 0.000 9.190
Sm Cu Ni P
2 1 3 4
Direct
0.000 0.500 0.246
0.500 0.000 0.754
0.000 0.000 0.500
0.000 0.500 0.887
0.500 0.000 0.113
0.500 0.500 0.500
0.000 0.000 0.000
0.000 0.500 0.635
0.500 0.000 0.365
0.500 0.500 0.000

Record 2
In2Br3, relaxed, DFT PBE; ΔE_f (raw) = -71.2 kJ/mol of atoms
1.0
13.153 0.000 0.000
0.000 13.485 0.000
0.000 0.000 16.902
In Br
32 48
Direct
0.057 0.155 0.253
0.079 0.401 0.442
0.094 0.407 0.065
0.112 0.005 0.558
0.128 0.696 0.666
0.133 0.695 0.831
0.208 0.014 0.253
0.227 0.307 0.765
0.273 0.693 0.265
0.292 0.986 0.753
0.367 0.305 0.331
0.372 0.304 0.166
0.388 0.995 0.058
0.406 0.593 0.565
0.421 0.599 0.942
0.443 0.845 0.753
0.557 0.345 0.747
0.579 0.099 0.558
0.594 0.093 0.935
0.612 0.495 0.442
0.628 0.804 0.334
0.633 0.805 0.169
0.708 0.486 0.747
0.727 0.193 0.235
0.773 0.807 0.735
0.792 0.514 0.247
0.867 0.195 0.669
0.872 0.196 0.834
0.888 0.505 0.942
0.906 0.907 0.435
0.921 0.901 0.058
0.943 0.655 0.247
0.042 0.246 0.901
0.045 0.233 0.606
0.068 0.630 0.368
0.070 0.638 0.128
0.086 0.349 0.251
0.096 0.957 0.743
0.175 0.518 0.891
0.177 0.520 0.608
0.190 0.901 0.126
0.192 0.887 0.368
0.239 0.201 0.083
0.241 0.201 0.416
0.259 0.799 0.916
0.261 0.799 0.583
0.308 0.113 0.868
0.310 0.099 0.626
0.323 0.480 0.108
0.325 0.482 0.391
0.404 0.043 0.243
0.414 0.651 0.751
0.430 0.362 0.628
0.432 0.370 0.868
0.455 0.767 0.106
0.458 0.754 0.401
0.542 0.254 0.099
0.545 0.267 0.394
0.568 0.870 0.632
0.570 0.862 0.872
0.586 0.151 0.749
0.596 0.543 0.257
0.675 0.982 0.109
0.677 0.980 0.392
0.690 0.599 0.874
0.692 0.613 0.632
0.739 0.299 0.917
0.741 0.299 0.584
0.759 0.701 0.084
0.761 0.701 0.417
0.808 0.387 0.132
0.810 0.401 0.374
0.823 0.020 0.892
0.825 0.018 0.609
0.904 0.457 0.757
0.914 0.849 0.249
0.930 0.138 0.372
0.932 0.130 0.132
0.955 0.733 0.894
0.958 0.746 0.599

Please write out number 1 again, unchanged.
Sm2CuNi3P4, relaxed, DFT PBE; formation energy = -0.93 eV per atom
1.0
4.048 0.000 0.000
0.000 4.048 0.000
0.000 0.000 9.190
Sm Cu Ni P
2 1 3 4
Direct
0.000 0.500 0.246
0.500 0.000 0.754
0.000 0.000 0.500
0.000 0.500 0.887
0.500 0.000 0.113
0.500 0.500 0.500
0.000 0.000 0.000
0.000 0.500 0.635
0.500 0.000 0.365
0.500 0.500 0.000